This record from Alexandria via LeMat-Bulk describes a geometry-optimized NbAl2CrCd structure. The functional is PBE.

Computed properties:
crystal system: tetragonal
D(E_F): 5.29 states/eV per cell
calculated formation energy: 1.362 eV/atom
spin magnetization: 1.70 μB per formula unit

Structure (POSCAR):
```
NbAl2CrCd
1.0
-4.230 0.788 -2.064
-2.259 -2.299 3.753
-0.361 4.152 2.326
Al Nb Cd Cr
2 1 1 1
Cartesian
-0.181 2.076 1.163
-2.115 0.394 -1.032
-3.425 1.320 2.008
0.000 0.000 0.000
-1.130 -1.150 1.877
```

=====

This record from Alexandria via LeMat-Bulk describes a geometry-optimized RbGaAg2Au structure. The functional is PBE.

Computed properties:
crystal system: tetragonal
D(E_F): 1.98 states/eV per cell
calculated formation energy: 0.039 eV/atom
spin magnetization: 0.00 μB per formula unit
offset from the most stable computed form: 33 meV/atom

Structure (POSCAR):
```
RbGaAg2Au
1.0
-1.847 0.859 5.060
4.563 -2.189 2.037
2.086 4.366 0.020
Rb Au Ag Ga
1 1 2 1
Cartesian
2.401 1.518 3.558
0.000 0.000 0.000
2.281 -1.094 1.018
-0.923 0.430 2.530
1.043 2.183 0.010
```

=====

This record from Alexandria via LeMat-Bulk describes a geometry-optimized AcPr2SmDy structure. The functional is PBE.

Computed properties:
crystal system: orthorhombic
D(E_F): 13.39 states/eV per cell
calculated formation energy: 0.340 eV/atom
spin magnetization: 0.00 μB per formula unit

Structure (POSCAR):
```
AcPr2SmDy
1.0
7.443 0.000 0.000
0.000 8.419 0.000
0.000 -4.209 6.147
Ac Dy Pr Sm
2 2 4 2
Cartesian
5.582 0.000 2.971
1.861 4.209 3.176
1.861 0.000 3.749
5.582 4.209 2.398
0.000 2.552 0.000
3.722 5.866 0.000
0.000 5.866 0.000
3.722 2.552 0.000
1.861 0.000 0.683
5.582 4.209 5.464
```

=====

This record from Alexandria via LeMat-Bulk describes a geometry-optimized CoGeN2 structure. The functional is PBE.

Computed properties:
crystal system: tetragonal
D(E_F): 6.15 states/eV per cell
raw formation energy: 204 meV/atom
spin magnetization: 2.83 μB per formula unit

Structure (POSCAR):
```
CoGeN2
1.0
4.552 0.000 0.000
0.000 4.552 0.000
2.276 2.276 4.380
N Co Ge
4 2 2
Cartesian
1.037 3.414 1.095
3.414 3.314 3.285
3.515 1.138 1.095
5.690 5.791 3.285
2.276 4.552 2.190
2.276 2.276 0.000
4.552 2.276 2.190
0.000 0.000 0.000
```

=====

This record from Alexandria via LeMat-Bulk describes a geometry-optimized Ce2Nd2As5 structure. The functional is PBE.

Computed properties:
crystal system: orthorhombic
D(E_F): 14.46 states/eV per cell
calculated formation energy: -1.211 eV/atom
spin magnetization: 0.00 μB per formula unit

Structure (POSCAR):
```
Ce2Nd2As5
1.0
7.951 0.000 0.000
0.000 7.231 -4.045
0.000 -0.564 8.267
Nd Ce As
4 4 10
Cartesian
1.263 4.373 2.769
6.688 2.294 1.453
5.238 5.628 3.564
2.712 1.039 0.658
0.000 0.957 5.865
3.975 1.813 4.513
0.000 5.711 -1.643
3.975 4.855 -0.291
5.197 -0.072 2.426
2.754 6.740 1.795
5.197 2.162 -1.103
1.222 1.171 3.214
2.754 4.505 5.325
6.729 5.496 1.008
1.222 3.406 -0.316
3.975 3.334 2.111
6.729 3.261 4.537
0.000 0.000 0.000
```

=====

This record from Alexandria via LeMat-Bulk describes a geometry-optimized SmTaRh structure. The functional is PBE.

Computed properties:
crystal system: tetragonal
D(E_F): 7.08 states/eV per cell
calculated formation energy: -0.320 eV/atom
spin magnetization: 0.00 μB per formula unit

Structure (POSCAR):
```
SmTaRh
1.0
3.945 0.027 -0.173
-0.030 3.945 -0.173
-1.602 -1.626 8.506
Sm Ta Rh
2 2 2
Cartesian
0.233 0.236 5.477
2.080 2.110 2.683
1.972 0.013 -0.086
-0.015 1.972 -0.086
0.086 0.087 2.010
2.227 2.259 6.150
```